PaAuN | Alexandria via LeMat-Bulk | PBE-GGA | relaxed; space-group type = No. 129; density of states at the Fermi level = 6.2 states/eV per cell; offset from the most stable computed form = 0.0 kJ/mol of atoms; formation energy without anion corrections = -357 kJ/mol of formula units; E_tot = -8.2669 eV per atom; mass density = 13.481 g/cm³; V = 108.9 Å³ per cell
1.0
-3.1136 0.2623 -2.3029
0.3848 -3.7446 -0.9467
-4.2556 -1.8394 5.5445
Pa N Au
2 2 2
Cartesian
-1.9188 -3.3606 0.5761 Pa
-5.0656 -1.9611 1.7188 Pa
-4.1744 -3.5314 0.3351 N
-2.8100 -1.7903 1.9599 N
-2.6689 -0.9254 -1.4036 Au
-4.3154 -4.3963 3.6985 Au